Entry 1:
VASP calculation (PBE) on a relaxed ZrTlBi2 crystal.

## Properties
* E_form: -0.090 eV/atom
* relative energy among the computed polymorphs: 39 meV/atom

a b c (Å): 4.0030 4.0030 26.8963
angles (deg): 90.00 90.00 120.00
Space group R-3m (No. 166, hexagonal axes)
Unique sites:
Zr: 0.0000 0.0000 0.0000 [3 per cell]
Tl: 0.0000 0.0000 0.5000 [3 per cell]
Bi: 0.0000 0.0000 0.2605 [6 per cell]

***

Entry 2:
VASP calculation (PBE) on a relaxed Zr2Tl2Bi crystal.

## Properties
* E_form: -0.066 eV/atom
* relative energy among the computed polymorphs: 0 meV/atom

a b c (Å): 7.6173 7.6173 4.4881
angles (deg): 90.00 90.00 90.00
Space group P4/mbm (No. 127)
Unique sites:
Zr: 0.1506 0.3494 0.0000 [4 per cell]
Tl: 0.1553 0.6553 0.5000 [4 per cell]
Bi: 0.0000 0.0000 0.0000 [2 per cell]

***

Entry 3:
VASP calculation (PBE) on a relaxed Zr2TlBi crystal.

## Properties
* E_form: 0.044 eV/atom
* relative energy among the computed polymorphs: 132 meV/atom

a b c (Å): 3.7613 3.7613 25.4443
angles (deg): 90.00 90.00 120.00
Space group R3m (No. 160, hexagonal axes)
Unique sites:
Zr: 0.0000 0.0000 0.0000 [3 per cell]
Zr: 0.0000 0.0000 0.1740 [3 per cell]
Tl: 0.0000 0.0000 0.4197 [3 per cell]
Bi: 0.0000 0.0000 0.5873 [3 per cell]

***

Entry 4:
VASP calculation (PBE) on a relaxed Tm4Bi crystal.

## Properties
* E_form: 0.393 eV/atom
* relative energy among the computed polymorphs: 500 meV/atom

a b c (Å): 5.7239 5.7239 5.7239
angles (deg): 90.00 90.00 90.00
Space group Pm-3m (No. 221)
Unique sites:
Tm: 0.0000 0.0000 0.0000 [1 per cell]
Tm: 0.0000 0.5000 0.5000 [3 per cell]
Bi: 0.5000 0.5000 0.5000 [1 per cell]